(1)
Entry from the Alexandria database: a relaxed structure of AlIrSe2 (GGA-PBE).

Lattice parameters (Å, degrees): 4.541 4.541 6.779 104.37 104.37 48.82
Fractional coordinates of all 4 atoms:
Al 0.000 0.000 0.000
Ir 0.299 0.299 0.064
Se 0.713 0.713 0.793
Se 0.895 0.895 0.310

- space-group type = Cm (8)

***

(2)
Entry from the Alexandria database: a relaxed structure of TlRe3Sn (GGA-PBE).

Lattice parameters (Å, degrees): 4.904 4.904 4.904 90.00 90.00 90.00
Fractional coordinates of all 5 atoms:
Tl 0.000 0.000 0.000
Re 0.000 0.500 0.500
Re 0.500 0.000 0.500
Re 0.500 0.500 0.000
Sn 0.500 0.500 0.500

- space-group type = Pm-3m (221)
- DFT formation energy (eV/atom) = 2.68
- energy above the lowest structure with this stoichiometry (eV/atom) = 0.000

***

(3)
Entry from the Alexandria database: a relaxed structure of PmSi2BOs2 (GGA-PBE).

Lattice parameters (Å, degrees): 4.165 4.165 5.351 90.00 90.00 90.00
Fractional coordinates of all 6 atoms:
Pm 0.000 0.000 0.000
Si 0.500 0.500 0.222
Si 0.500 0.500 0.778
B 0.000 0.000 0.500
Os 0.000 0.500 0.500
Os 0.500 0.000 0.500

- space-group type = P4/mmm (123)

***

One value per record, in order, for calculated total energy: -5.25; -6.07; -7.98 eV per atom.
One value per record, in order, for ρ: 6.2; 12.4; 10.6 g cm⁻³.